No. 1
Below is Cu3Au2I8 after structural relaxation, with properties calculated at the PBE level.

Calculated values
Total magnetic moment ... 0.00 μB/atom
Uncorrected energy ... -2.42 eV per atom
Formation energy from raw total energies ... -0.02 eV/atom
SG ... C2/m

```
13
Lattice="10.650 -5.124 0.000 10.650 5.124 0.000 -0.517 0.000 4.660" Properties=species:S:1:pos:R:3 pbc="T T T"
Cu 0.000 0.000 0.000
Cu 10.391 1.889 2.330
Cu 10.391 -1.889 2.330
Au 6.330 0.000 1.776
Au 14.451 0.000 2.884
I 8.622 3.339 3.501
I 4.748 0.000 3.867
I 12.160 3.339 1.159
I 8.973 0.000 1.107
I 11.808 0.000 3.553
I 8.622 -3.339 3.501
I 16.033 0.000 0.792
I 12.160 -3.339 1.159
```

***

No. 2
Below is CuAu2I6 after structural relaxation, with properties calculated at the PBE level.

Calculated values
Polymorph energy (0 for the lowest one) ... 0.000 eV per atom
Total magnetic moment ... 0.00 μB/atom
Uncorrected energy ... -2.26 eV per atom
Formation energy from raw total energies ... -0.05 eV/atom
SG ... P2_1/c

```
18
Lattice="7.534 0.000 0.000 0.000 7.364 0.000 -3.081 0.000 13.596" Properties=species:S:1:pos:R:3 pbc="T T T"
Cu 0.000 0.000 0.000
Cu -1.541 3.682 6.798
Au -0.012 0.919 11.322
Au 1.529 2.763 4.524
Au 2.924 4.601 9.072
Au 4.464 6.446 2.274
I -0.435 1.462 5.943
I -1.976 2.220 12.741
I 0.283 5.024 5.536
I -1.257 6.022 12.334
I 2.465 0.306 3.728
I 0.924 3.376 10.526
I 3.529 3.988 3.070
I 1.988 7.059 9.868
I 5.710 1.342 1.262
I 4.169 2.340 8.060
I 6.428 5.145 0.855
I 4.888 5.902 7.653
```

***

No. 3
Below is CuAuI3 after structural relaxation, with properties calculated at the PBE level.

Calculated values
Polymorph energy (0 for the lowest one) ... 0.535 eV per atom
Total magnetic moment ... 0.00 μB/atom
Uncorrected energy ... -1.93 eV per atom
Formation energy from raw total energies ... 0.47 eV/atom
SG ... Pm-3m

```
5
Lattice="5.399 0.000 0.000 0.000 5.399 0.000 0.000 0.000 5.399" Properties=species:S:1:pos:R:3 pbc="T T T"
Cu 0.000 0.000 0.000
Au 2.699 2.699 2.699
I 0.000 0.000 2.699
I 0.000 2.699 0.000
I 2.699 0.000 0.000
```

***

No. 4
Below is Cu3Au5I12 after structural relaxation, with properties calculated at the PBE level.

Calculated values
Total magnetic moment ... 0.00 μB/atom
Uncorrected energy ... -2.30 eV per atom
Formation energy from raw total energies ... 0.06 eV/atom
SG ... Ia-3d

```
80
Lattice="-8.996 8.996 8.996 8.996 -8.996 8.996 8.996 8.996 -8.996" Properties=species:S:1:pos:R:3 pbc="T T T"
Cu 4.498 2.249 0.000
Cu 8.996 4.498 -2.249
Cu 2.249 0.000 4.498
Cu 11.246 0.000 4.498
Cu 0.000 4.498 2.249
Cu 4.498 -2.249 8.996
Cu 4.498 11.246 0.000
Cu 8.996 4.498 6.747
Cu -2.249 8.996 4.498
Cu 6.747 8.996 4.498
Cu 0.000 4.498 11.246
Cu 4.498 6.747 8.996
Au 0.000 0.000 0.000
Au 4.498 4.498 -4.498
Au 4.498 -4.498 4.498
Au 8.996 0.000 0.000
Au 13.495 2.249 0.000
Au 8.996 -4.498 6.747
Au 6.747 8.996 -4.498
Au 6.747 0.000 4.498
Au 4.498 6.747 0.000
Au 8.996 4.498 2.249
Au -4.498 4.498 4.498
Au 0.000 8.996 0.000
Au 0.000 0.000 8.996
Au 4.498 4.498 4.498
Au 0.000 4.498 6.747
Au 4.498 2.249 8.996
Au 2.249 8.996 4.498
Au 2.249 0.000 13.495
Au 0.000 13.495 2.249
Au -4.498 6.747 8.996
I 2.840 0.141 -0.117
I 10.655 4.381 -4.357
I 7.338 4.615 -4.357
I 6.157 0.141 0.117
I 4.381 4.357 -1.658
I 9.113 2.840 -0.141
I 0.141 -0.117 2.840
I 4.357 -1.658 4.381
I 9.138 0.117 2.840
I 13.354 -1.658 4.615
I -0.117 2.840 0.141
I 4.615 -4.357 7.338
I 4.615 4.357 1.658
I 8.880 6.157 -0.141
I 9.138 -0.117 6.157
I 13.354 1.658 4.381
I 0.141 0.117 6.157
I 4.357 1.658 4.615
I 0.117 6.157 0.141
I 4.381 -4.357 10.655
I -1.658 4.381 4.357
I 6.157 -0.141 8.880
I 1.658 4.615 4.357
I 2.840 -0.141 9.113
I 6.157 9.138 -0.117
I 7.338 4.381 4.639
I 2.840 9.138 0.117
I 10.655 4.615 4.639
I 4.615 13.354 -1.658
I 8.880 2.840 8.855
I 4.639 7.338 4.381
I 8.855 8.880 2.840
I -4.357 7.338 4.615
I -0.141 9.113 2.840
I 0.117 2.840 9.138
I 4.381 4.639 7.338
I 4.381 13.354 1.658
I 9.113 6.157 8.855
I -4.357 10.655 4.381
I -0.141 8.880 6.157
I 4.639 10.655 4.615
I 8.855 9.113 6.157
I -0.117 6.157 9.138
I 4.615 4.639 10.655
I 2.840 8.855 8.880
I 1.658 4.381 13.354
I -1.658 4.615 13.354
I 6.157 8.855 9.113
```

***

No. 5
Below is CuAu2I6 after structural relaxation, with properties calculated at the PBE level.

Calculated values
Polymorph energy (0 for the lowest one) ... 0.021 eV per atom
Total magnetic moment ... 0.01 μB/atom
Uncorrected energy ... -2.24 eV per atom
Formation energy from raw total energies ... -0.03 eV/atom
SG ... C2/c

```
18
Lattice="7.580 -6.813 0.000 7.580 6.813 0.000 -1.837 0.000 7.456" Properties=species:S:1:pos:R:3 pbc="T T T"
Cu 6.202 4.478 5.592
Cu 7.121 -4.478 1.864
Au 3.085 1.159 2.794
Au 2.166 -1.159 6.522
Au 11.156 1.159 0.933
Au 10.238 -1.159 4.661
I 3.937 4.606 6.889
I 4.860 4.584 3.337
I 9.381 4.584 0.391
I 8.466 4.606 4.294
I 4.167 0.022 5.051
I 5.086 -0.022 1.323
I 8.237 0.022 6.133
I 9.155 -0.022 2.405
I 4.856 -4.606 3.162
I 3.942 -4.584 7.064
I 8.462 -4.584 4.119
I 9.385 -4.606 0.566
```

***

No. 6
Below is Cu2Au2I5 after structural relaxation, with properties calculated at the PBE level.

Calculated values
Total magnetic moment ... 0.00 μB/atom
Uncorrected energy ... -2.58 eV per atom
Formation energy from raw total energies ... -0.08 eV/atom
SG ... Ima2

```
18
Lattice="-10.282 3.891 4.404 10.282 -3.891 4.404 10.282 3.891 -4.404" Properties=species:S:1:pos:R:3 pbc="T T T"
Cu 3.222 1.087 0.000
Cu 7.060 1.087 0.000
Cu 3.222 2.804 4.404
Cu 7.060 2.804 4.404
Au 15.423 0.744 0.365
Au 0.000 3.891 2.254
Au 0.000 0.000 6.658
Au -5.141 3.147 4.768
I 8.577 1.951 -2.016
I 11.986 -1.940 2.388
I 12.880 1.372 0.370
I 7.684 -2.519 4.773
I 5.141 2.759 -0.041
I 1.704 1.940 2.388
I 8.577 1.940 2.388
I 5.141 1.132 4.362
I 2.598 6.411 0.370
I -2.598 2.519 4.773
```